No. 1
VTe2Se, relaxed, DFT PBE; space group = I-42d (122); DFT total energy = -35.61 eV per cell; uncorrected formation energy = 271 meV per atom; spin magnetization = 2.7 μB per formula unit
1.0
7.371 0.000 0.000
0.000 7.371 0.000
3.685 3.685 4.194
V Te Se
2 4 2
Direct
0.250 0.750 0.500
0.500 0.500 0.000
0.875 0.844 0.750
0.156 0.625 0.250
0.375 0.406 0.750
0.594 0.125 0.250
0.000 0.000 0.000
0.750 0.250 0.500

No. 2
VTeSe3, relaxed, DFT PBE; space group = Pm-3m (221); DFT total energy = -22.45 eV per cell; uncorrected formation energy = 53 meV per atom; offset from the most stable computed form = 383.7 meV per atom; spin magnetization = 1.0 μB per formula unit
1.0
-0.542 4.290 2.221
-4.669 -1.039 0.867
1.239 -2.037 4.236
V Se Te
1 3 1
Direct
0.000 0.000 0.000
0.500 0.000 0.000
0.000 0.500 0.000
0.000 0.000 0.500
0.500 0.500 0.500

No. 3
V2Te3Se, relaxed, DFT PBE; space group = C2/m (12); DFT total energy = -65.99 eV per cell; uncorrected formation energy = -308 meV per atom; offset from the most stable computed form = 116.2 meV per atom; spin magnetization = 2.2 μB per formula unit
1.0
-3.496 -0.650 -0.963
-1.175 -7.680 2.407
-4.541 -0.067 9.485
Se Te V
2 6 4
Direct
0.570 0.504 0.357
0.430 0.496 0.643
0.661 0.686 0.992
0.954 0.865 0.226
0.229 0.158 0.384
0.339 0.314 0.008
0.771 0.842 0.616
0.046 0.135 0.774
0.392 0.780 0.435
0.151 0.512 0.185
0.608 0.220 0.565
0.849 0.488 0.815

No. 4
VTeSe2, relaxed, DFT PBE; space group = R-3m (166); DFT total energy = -17.00 eV per cell; uncorrected formation energy = 558 meV per atom; spin magnetization = 1.4 μB per formula unit
1.0
1.956 0.000 9.423
-0.978 1.694 9.423
-0.978 -1.694 9.423
V Se Te
1 2 1
Direct
0.000 0.000 0.000
0.918 0.918 0.918
0.082 0.082 0.082
0.500 0.500 0.500